Record 1
# GGA-PBE Pm2Pr3Nd6Mg, relaxed
# SG: C2/m
# Total moment, μB per cell: 0.00
# Calculated formation energy, eV/atom: 0.019
data_Pm2Pr3Nd6Mg
_chemical_formula_sum 'Pm2 Pr3 Nd6 Mg1'
_space_group_name_H-M_alt 'P 1'
_space_group_IT_number 1
_space_group_name_Hall 'P 1'
_cell_length_a 6.333
_cell_length_b 6.333
_cell_length_c 12.080
_cell_angle_alpha 95.04
_cell_angle_beta 95.04
_cell_angle_gamma 120.05
loop_
_atom_site_label
_atom_site_fract_x
_atom_site_fract_y
_atom_site_fract_z
Pm1 0.167 0.833 0.000
Pm2 0.833 0.167 0.000
Pr1 0.000 0.000 0.500
Pr2 0.333 0.667 0.500
Pr3 0.667 0.333 0.500
Nd1 0.088 0.419 0.754
Nd2 0.251 0.251 0.247
Nd3 0.419 0.088 0.754
Nd4 0.581 0.912 0.246
Nd5 0.749 0.749 0.753
Nd6 0.912 0.581 0.246
Mg1 0.500 0.500 0.000


Record 2
# GGA-PBE PrErTlPb, relaxed
# SG: F-43m
# Total moment, μB per cell: 0.00
# Calculated formation energy, eV/atom: -0.370
# E above lowest polymorph, eV/atom: 0.0363
data_PrErTlPb
_chemical_formula_sum 'Pr1 Er1 Tl1 Pb1'
_space_group_name_H-M_alt 'P 1'
_space_group_IT_number 1
_space_group_name_Hall 'P 1'
_cell_length_a 5.485
_cell_length_b 5.485
_cell_length_c 5.485
_cell_angle_alpha 60.00
_cell_angle_beta 60.00
_cell_angle_gamma 60.00
loop_
_atom_site_label
_atom_site_fract_x
_atom_site_fract_y
_atom_site_fract_z
Pr1 0.000 0.000 0.000
Er1 0.500 0.500 0.500
Tl1 0.250 0.250 0.250
Pb1 0.750 0.750 0.750


> total moment of number 1 (Pm2Pr3Nd6Mg)?

0.00 μB per cell